Entry 1:
SiPRu | PBE | optimized geometry

Values from the calculation:
VASP energy, eV per atom: -6.53
Spin magnetization, μB/cell: 0.0
Energy relative to the elements, uncorrected, kJ/mol of formula units: 51

abc: 7.0164 7.0164 2.9213
angles: 90.00 90.00 120.00
Positions (direct):
Si1 0.0000 0.0000 0.0000
Si2 0.3333 0.6667 0.5000
Si3 0.6667 0.3333 0.5000
P1 0.0000 0.7190 0.5000
P2 0.2810 0.2810 0.5000
P3 0.7190 0.0000 0.5000
Ru1 0.0000 0.4356 0.0000
Ru2 0.4356 0.0000 0.0000
Ru3 0.5644 0.5644 0.0000

***

Entry 2:
Sc3CdPt5 | PBE | optimized geometry

Values from the calculation:
VASP energy, eV per atom: -6.57
Spin magnetization, μB/cell: 0.0
Energy of formation, eV per atom: -1.003

abc: 8.0856 8.0856 5.6018
angles: 90.00 90.00 120.00
Positions (direct):
Sc1 0.0000 0.3585 0.2500
Sc2 0.0000 0.6415 0.7500
Sc3 0.3585 0.0000 0.2500
Sc4 0.3585 0.3585 0.7500
Sc5 0.6415 0.0000 0.7500
Sc6 0.6415 0.6415 0.2500
Cd1 0.0000 0.0000 0.0000
Cd2 0.0000 0.0000 0.5000
Pt1 0.0000 0.3155 0.7500
Pt2 0.0000 0.6845 0.2500
Pt3 0.3155 0.0000 0.7500
Pt4 0.3155 0.3155 0.2500
Pt5 0.3333 0.6667 0.0000
Pt6 0.3333 0.6667 0.5000
Pt7 0.6667 0.3333 0.0000
Pt8 0.6667 0.3333 0.5000
Pt9 0.6845 0.0000 0.2500
Pt10 0.6845 0.6845 0.7500

***

Entry 3:
Cs2Cd2BiTe4 | PBE | optimized geometry

Values from the calculation:
VASP energy, eV per atom: -2.84
Spin magnetization, μB/cell: 0.0
Energy relative to the elements, uncorrected, kJ/mol of formula units: -534

abc: 9.8261 9.8261 8.7502
angles: 108.63 108.63 27.35
Positions (direct):
Cs1 0.1277 0.1277 0.0412
Cs2 0.8723 0.8723 0.9588
Cd1 0.3272 0.3272 0.5279
Cd2 0.6728 0.6728 0.4721
Bi1 0.0000 0.0000 0.5000
Te1 0.2102 0.2102 0.6821
Te2 0.4784 0.4784 0.7287
Te3 0.5216 0.5216 0.2713
Te4 0.7898 0.7898 0.3179

***

Entry 4:
DyAlPb2S5 | PBE | optimized geometry

Values from the calculation:
VASP energy, eV per atom: -5.16
Spin magnetization, μB/cell: 0.0
Energy relative to the elements, uncorrected, kJ/mol of formula units: -967

abc: 9.0705 9.0705 12.8314
angles: 90.00 90.00 155.08
Positions (direct):
Dy1 0.1992 0.8008 0.5000
Dy2 0.8008 0.1992 0.0000
Al1 0.4458 0.5542 0.8952
Al2 0.5542 0.4458 0.3952
Pb1 0.1211 0.8789 0.7969
Pb2 0.1311 0.8689 0.1406
Pb3 0.8689 0.1311 0.6406
Pb4 0.8789 0.1211 0.2969
S1 0.0380 0.9620 0.4925
S2 0.2955 0.7045 0.1466
S3 0.3208 0.6792 0.8520
S4 0.3505 0.6495 0.4857
S5 0.4902 0.5098 0.2461
S6 0.5098 0.4902 0.7461
S7 0.6495 0.3505 0.9857
S8 0.6792 0.3208 0.3520
S9 0.7045 0.2955 0.6466
S10 0.9620 0.0380 0.9925

***

Entry 5:
Tm4GaHg2Au | PBE | optimized geometry

Values from the calculation:
VASP energy, eV per atom: -3.69
Spin magnetization, μB/cell: 0.0
Energy of formation, eV per atom: -0.590

abc: 8.8253 8.8253 8.8253
angles: 33.71 33.71 33.71
Positions (direct):
Tm1 0.1241 0.1241 0.1241
Tm2 0.3744 0.3744 0.3744
Tm3 0.6256 0.6256 0.6256
Tm4 0.8759 0.8759 0.8759
Ga1 0.5000 0.5000 0.5000
Hg1 0.2483 0.2483 0.2483
Hg2 0.7517 0.7517 0.7517
Au1 0.0000 0.0000 0.0000

***

Entry 6:
PaBeGaRh3 | PBE | optimized geometry

Values from the calculation:
VASP energy, eV per atom: -6.91
Spin magnetization, μB/cell: 0.0
Energy of formation, eV per atom: -0.530

abc: 6.5417 6.5417 5.8855
angles: 90.00 90.00 128.77
Positions (direct):
Pa1 0.1933 0.8067 0.7500
Pa2 0.8067 0.1933 0.2500
Be1 0.4461 0.5539 0.7500
Be2 0.5539 0.4461 0.2500
Ga1 0.1309 0.8691 0.2500
Ga2 0.8691 0.1309 0.7500
Rh1 0.2405 0.2405 0.0000
Rh2 0.2405 0.2405 0.5000
Rh3 0.3337 0.6663 0.2500
Rh4 0.6663 0.3337 0.7500
Rh5 0.7595 0.7595 0.0000
Rh6 0.7595 0.7595 0.5000